Below is a geometry-optimized LiCrCo2N structure, with properties calculated at the PBE-GGA level.

Cell and atoms, written as extended XYZ:
```
5
Lattice="3.747 0.000 0.000 0.000 3.747 0.000 0.000 0.000 3.811" Properties=species:S:1:pos:R:3 pbc="T T T"
Li 0.000 0.000 0.000
Cr 1.873 1.873 0.000
Co 0.000 1.873 1.906
Co 1.873 0.000 1.906
N 1.873 1.873 1.906
```

formation energy without anion corrections = -0.07 eV/atom
D(E_F) = 4.15 states/eV per cell
space-group type = P4/mmm (123)
raw total energy = -6.88 eV/atom
total moment = 0.680 μB/atom